No. 1
The following is a PBE calculation of a relaxed structure of BaPm2Dy, from Alexandria via LeMat-Bulk.

Output
Excess energy over the best structure of this formula in the dataset in meV/atom: 77
Energy of formation in kJ/mol of atoms: 19.2

Cell lengths 3.6636, 3.6636, 39.1956 Å; angles 90.00, 90.00, 120.00 degrees
With the nearest neighbours (Å) after each atom.
Space group R-3m (No. 166, hexagonal axes)
Asymmetric unit:
1 Ba 0.0000 0.0000 0.0000 [3 per cell]  6 Ba 3.66, 2 Pm 3.68
2 Pm 0.0000 0.0000 0.0938 [6 per cell]  3 Dy 3.55, 6 Pm 3.66, 1 Ba 3.68
3 Dy 0.0000 0.0000 0.5000 [3 per cell]  6 Pm 3.55, 6 Dy 3.66

No. 2
The following is a PBE calculation of a relaxed structure of Ba2PmDyS4, from Alexandria via LeMat-Bulk.

Output
Formation energy from raw total energies in eV per atom: -2.014

Cell lengths 7.2074, 4.1681, 7.5387 Å; angles 90.00, 108.63, 90.00 degrees
With the nearest neighbours (Å) after each atom.
Space group P2/m (No. 10)
Asymmetric unit:
1 Ba 0.0000 0.0000 0.0000 [1 per cell]  6 S 3.18-3.19
2 Ba 0.5000 0.5000 0.0000 [1 per cell]  6 S 3.14
3 Pm 0.0000 0.5000 0.5000 [1 per cell]  6 S 2.87
4 Dy 0.5000 0.0000 0.5000 [1 per cell]  6 S 2.81-2.82
5 S 0.2446 0.0000 0.7145 [2 per cell]  1 Dy 2.81, 2 Pm 2.87, 2 Ba 3.14
6 S 0.2685 0.5000 0.2887 [2 per cell]  2 Dy 2.82, 1 Pm 2.87, 1 Ba 3.14

No. 3
The following is a PBE calculation of a relaxed structure of BaPmDy4S8, from Alexandria via LeMat-Bulk.

Output
Formation energy from raw total energies in eV per atom: -1.965

Cell lengths 8.2431, 8.2431, 20.4498 Å; angles 90.00, 90.00, 120.00 degrees
With the nearest neighbours (Å) after each atom.
Space group R3m (No. 160, hexagonal axes)
Asymmetric unit:
1 Ba 0.0000 0.0000 0.0000 [3 per cell]  4 S 2.89-2.90
2 Pm 0.0000 0.0000 0.6285 [3 per cell]  6 S 2.77-2.92
3 Dy 0.0000 0.0000 0.2519 [3 per cell]  4 S 2.66-2.70
4 Dy 0.1689 0.3378 0.4594 [9 per cell]  6 S 2.69-2.86
5 S 0.0000 0.0000 0.3839 [3 per cell]  4 Dy 2.70-2.86
6 S 0.0000 0.0000 0.8581 [3 per cell]  3 Dy 2.70, 1 Ba 2.90
7 S 0.0437 0.5218 0.3852 [9 per cell]  2 Dy 2.69, 1 Pm 2.77, 1 Ba 2.89
8 S 0.1740 0.3480 0.2057 [9 per cell]  3 Dy 2.66-2.86, 1 Pm 2.92

No. 4
The following is a PBE calculation of a relaxed structure of BaPmDy4Se8, from Alexandria via LeMat-Bulk.

Output
Formation energy from raw total energies in eV per atom: -1.776

Cell lengths 8.6063, 8.6063, 21.3656 Å; angles 90.00, 90.00, 120.00 degrees
With the nearest neighbours (Å) after each atom.
Space group R3m (No. 160, hexagonal axes)
Asymmetric unit:
1 Ba 0.0000 0.0000 0.0000 [3 per cell]  4 Se 3.01
2 Pm 0.0000 0.0000 0.3709 [3 per cell]  6 Se 2.90-3.05
3 Dy 0.0000 0.0000 0.7474 [3 per cell]  4 Se 2.78-2.82
4 Dy 0.0039 0.5020 0.8734 [9 per cell]  6 Se 2.82-2.99
5 Se 0.0000 0.0000 0.1410 [3 per cell]  3 Dy 2.83, 1 Ba 3.01
6 Se 0.0000 0.0000 0.6155 [3 per cell]  4 Dy 2.82-2.99
7 Se 0.0150 0.5075 0.1270 [9 per cell]  3 Dy 2.78-2.98, 1 Pm 3.05
8 Se 0.1874 0.3748 0.9479 [9 per cell]  2 Dy 2.82, 1 Pm 2.90, 1 Ba 3.01

No. 5
The following is a PBE calculation of a relaxed structure of Ba3PmDy3Se8, from Alexandria via LeMat-Bulk.

Output
Formation energy from raw total energies in eV per atom: -1.924

Cell lengths 8.4627, 8.4627, 22.5543 Å; angles 90.00, 90.00, 120.00 degrees
With the nearest neighbours (Å) after each atom.
Space group R-3m (No. 166, hexagonal axes)
Asymmetric unit:
1 Ba 0.0000 0.5000 0.0000 [9 per cell]  6 Se 3.26-3.28
2 Pm 0.0000 0.0000 0.5000 [3 per cell]  6 Se 2.98
3 Dy 0.0000 0.5000 0.5000 [9 per cell]  6 Se 2.90-2.92
4 Se 0.0000 0.0000 0.2376 [6 per cell]  3 Dy 2.92, 3 Ba 3.26
5 Se 0.0084 0.5042 0.7619 [18 per cell]  2 Dy 2.90, 1 Pm 2.98

No. 6
The following is a PBE calculation of a relaxed structure of Ba3Pm2DySe6, from Alexandria via LeMat-Bulk.

Output
Formation energy from raw total energies in eV per atom: -1.901

Cell lengths 7.5327, 13.0326, 7.8167 Å; angles 90.00, 108.75, 90.00 degrees
With the nearest neighbours (Å) after each atom.
Space group C2/m (No. 12)
Asymmetric unit:
1 Ba 0.0000 0.0000 0.0000 [2 per cell]  6 Se 3.25-3.30
2 Ba 0.0000 0.3311 0.0000 [4 per cell]  6 Se 3.25-3.29
3 Pm 0.0000 0.1659 0.5000 [4 per cell]  6 Se 3.00
4 Dy 0.0000 0.5000 0.5000 [2 per cell]  6 Se 2.93-2.94
5 Se 0.2353 0.3367 0.7165 [8 per cell]  1 Dy 2.93, 2 Pm 3.00, 2 Ba 3.25
6 Se 0.2466 0.0000 0.7187 [4 per cell]  1 Dy 2.94, 2 Pm 3.00, 2 Ba 3.26

No. 7
The following is a PBE calculation of a relaxed structure of Ba3Pm2DyTe6, from Alexandria via LeMat-Bulk.

Output
Formation energy from raw total energies in eV per atom: -1.554

Cell lengths 8.0162, 13.8591, 8.2971 Å; angles 90.00, 108.77, 90.00 degrees
With the nearest neighbours (Å) after each atom.
Space group C2/m (No. 12)
Asymmetric unit:
1 Ba 0.0000 0.0000 0.0000 [2 per cell]  6 Te 3.45-3.49
2 Ba 0.0000 0.3309 0.0000 [4 per cell]  6 Te 3.45-3.48
3 Pm 0.0000 0.1656 0.5000 [4 per cell]  6 Te 3.20
4 Dy 0.0000 0.5000 0.5000 [2 per cell]  6 Te 3.13-3.15
5 Te 0.2364 0.3362 0.7190 [8 per cell]  1 Dy 3.13, 2 Pm 3.20, 3 Ba 3.45-3.48
6 Te 0.2470 0.0000 0.7216 [4 per cell]  1 Dy 3.15, 2 Pm 3.20, 3 Ba 3.45-3.49

No. 8
The following is a PBE calculation of a relaxed structure of Ba3PmDy2Te6, from Alexandria via LeMat-Bulk.

Output
Formation energy from raw total energies in eV per atom: -1.535

Cell lengths 7.9752, 13.7880, 8.2748 Å; angles 90.00, 108.73, 90.00 degrees
With the nearest neighbours (Å) after each atom.
Space group C2/m (No. 12)
Asymmetric unit:
1 Ba 0.0000 0.0000 0.0000 [2 per cell]  6 Te 3.43-3.47
2 Ba 0.0000 0.3359 0.0000 [4 per cell]  6 Te 3.44-3.48
3 Pm 0.0000 0.5000 0.5000 [2 per cell]  6 Te 3.19-3.20
4 Dy 0.0000 0.1676 0.5000 [4 per cell]  6 Te 3.13-3.14
5 Te 0.2321 0.0000 0.7155 [4 per cell]  2 Dy 3.14, 1 Pm 3.19, 3 Ba 3.43-3.46
6 Te 0.2425 0.3304 0.7181 [8 per cell]  2 Dy 3.13-3.14, 1 Pm 3.20, 3 Ba 3.44-3.48

Copy entry 2 word for word.
The following is a PBE calculation of a relaxed structure of Ba2PmDyS4, from Alexandria via LeMat-Bulk.

Output
Formation energy from raw total energies in eV per atom: -2.014

Cell lengths 7.2074, 4.1681, 7.5387 Å; angles 90.00, 108.63, 90.00 degrees
With the nearest neighbours (Å) after each atom.
Space group P2/m (No. 10)
Asymmetric unit:
1 Ba 0.0000 0.0000 0.0000 [1 per cell]  6 S 3.18-3.19
2 Ba 0.5000 0.5000 0.0000 [1 per cell]  6 S 3.14
3 Pm 0.0000 0.5000 0.5000 [1 per cell]  6 S 2.87
4 Dy 0.5000 0.0000 0.5000 [1 per cell]  6 S 2.81-2.82
5 S 0.2446 0.0000 0.7145 [2 per cell]  1 Dy 2.81, 2 Pm 2.87, 2 Ba 3.14
6 S 0.2685 0.5000 0.2887 [2 per cell]  2 Dy 2.82, 1 Pm 2.87, 1 Ba 3.14

> Which formula does entry 1 have?

BaPm2Dy

> What is the formula in the seventh record?

Ba3Pm2DyTe6